Record 1
DFT (PBE-GGA) results for a geometry-optimized Ga3SnRh4 structure.

Computed properties:
energy relative to the elements	-0.575	eV per atom
SG	C2/m

Unit cell a=4.2251 b=4.2257 c=7.3183 alpha=106.90 beta=106.78 gamma=90.00
Atoms (fractional coordinates):
Rh 0.3684 0.3689 0.7367
Rh 0.6316 0.6311 0.2633
Rh 0.1316 0.1308 0.2633
Rh 0.8684 0.8692 0.7367
Sn 0.5000 0.0000 0.0000
Ga 0.0000 0.5000 0.0000
Ga 0.7519 0.2519 0.5038
Ga 0.2481 0.7481 0.4962


Record 2
DFT (PBE-GGA) results for a geometry-optimized Ga2Sn5Rh12 structure.

Computed properties:
energy relative to the elements	-0.167	eV per atom
SG	C2/m

Unit cell a=5.5956 b=7.3714 c=9.1129 alpha=81.10 beta=90.00 gamma=112.31
Atoms (fractional coordinates):
Ga 0.7442 0.0000 0.0000
Ga 0.2558 0.0000 0.0000
Sn 0.3181 0.6361 0.6578
Sn 0.3107 0.6215 0.1679
Sn 0.0000 0.0000 0.5000
Sn 0.6893 0.3785 0.8321
Sn 0.6819 0.3639 0.3422
Rh 0.9917 0.9833 0.2237
Rh 0.0876 0.6802 0.9024
Rh 0.5926 0.6802 0.9024
Rh 0.0895 0.6893 0.4043
Rh 0.5998 0.6893 0.4043
Rh 0.5035 0.0070 0.7597
Rh 0.4965 0.9930 0.2403
Rh 0.9105 0.3107 0.5957
Rh 0.4002 0.3107 0.5957
Rh 0.9124 0.3198 0.0976
Rh 0.4074 0.3198 0.0976
Rh 0.0083 0.0167 0.7763


Record 3
DFT (PBE-GGA) results for a geometry-optimized Ga2SnRh5 structure.

Computed properties:
energy relative to the elements	-0.447	eV per atom
SG	Pbam

Unit cell a=4.2371 b=5.4376 c=10.4644 alpha=90.00 beta=90.00 gamma=90.00
Atoms (fractional coordinates):
Ga 0.5000 0.3637 0.3600
Ga 0.5000 0.6363 0.6400
Ga 0.5000 0.1363 0.8600
Ga 0.5000 0.8637 0.1400
Sn 0.0000 0.0000 0.5000
Sn 0.0000 0.5000 0.0000
Rh 0.5000 0.3261 0.1150
Rh 0.5000 0.6739 0.8850
Rh 0.5000 0.8261 0.3850
Rh 0.5000 0.1739 0.6150
Rh 0.0000 0.8516 0.7340
Rh 0.0000 0.1484 0.2660
Rh 0.0000 0.3516 0.7660
Rh 0.0000 0.6484 0.2340
Rh 0.0000 0.5000 0.5000
Rh 0.0000 0.0000 0.0000


Record 4
DFT (PBE-GGA) results for a geometry-optimized Ga5SnRh3 structure.

Computed properties:
energy relative to the elements	-0.338	eV per atom
SG	C2/m

Unit cell a=7.1583 b=7.1583 c=9.5544 alpha=60.16 beta=60.16 gamma=77.72
Atoms (fractional coordinates):
Ga 0.9410 0.3918 0.3239
Ga 0.2765 0.7235 0.0000
Ga 0.7613 0.7613 0.0139
Ga 0.4371 0.4371 0.3336
Ga 0.5629 0.5629 0.6664
Ga 0.2387 0.2387 0.9861
Ga 0.3918 0.9410 0.3239
Ga 0.7235 0.2765 0.0000
Ga 0.0590 0.6082 0.6761
Ga 0.6082 0.0590 0.6761
Sn 0.1057 0.1057 0.6687
Sn 0.8943 0.8943 0.3313
Rh 0.6680 0.6680 0.8346
Rh 0.6595 0.6595 0.3345
Rh 0.0000 0.0000 0.0000
Rh 0.0000 0.0000 0.5000
Rh 0.3320 0.3320 0.1654
Rh 0.3405 0.3405 0.6655


Record 5
DFT (PBE-GGA) results for a geometry-optimized GaSnRh3 structure.

Computed properties:
energy relative to the elements	0.309	eV per atom
excess energy over the best structure of this formula in the dataset	402	meV/atom
SG	Pm-3m

Unit cell a=4.5347 b=4.5347 c=4.5347 alpha=90.00 beta=90.00 gamma=90.00
Atoms (fractional coordinates):
Rh 0.0000 0.5000 0.0000
Rh 0.0000 0.0000 0.5000
Rh 0.5000 0.0000 0.0000
Sn 0.5000 0.5000 0.5000
Ga 0.0000 0.0000 0.0000


Record 6
DFT (PBE-GGA) results for a geometry-optimized GaSnRh3 structure.

Computed properties:
energy relative to the elements	0.946	eV per atom
excess energy over the best structure of this formula in the dataset	1039	meV/atom
SG	Pm-3m

Unit cell a=4.8259 b=4.8259 c=4.8259 alpha=90.00 beta=90.00 gamma=90.00
Atoms (fractional coordinates):
Rh 0.0000 0.5000 0.0000
Rh 0.0000 0.0000 0.5000
Rh 0.5000 0.0000 0.0000
Sn 0.0000 0.0000 0.0000
Ga 0.5000 0.5000 0.5000


Record 7
DFT (PBE-GGA) results for a geometry-optimized GaSn2Rh2 structure.

Computed properties:
energy relative to the elements	-0.321	eV per atom
SG	P4/mbm

Unit cell a=6.8973 b=6.8973 c=3.8396 alpha=90.00 beta=90.00 gamma=90.00
Atoms (fractional coordinates):
Rh 0.3471 0.8471 0.0000
Rh 0.8471 0.6529 0.0000
Rh 0.6529 0.1529 0.0000
Rh 0.1529 0.3471 0.0000
Sn 0.1539 0.6539 0.5000
Sn 0.6539 0.8461 0.5000
Sn 0.8461 0.3461 0.5000
Sn 0.3461 0.1539 0.5000
Ga 0.0000 0.0000 0.0000
Ga 0.5000 0.5000 0.0000


Record 8
DFT (PBE-GGA) results for a geometry-optimized GaSnRh2 structure.

Computed properties:
energy relative to the elements	-0.068	eV per atom
excess energy over the best structure of this formula in the dataset	422	meV/atom
SG	I-42d

Unit cell a=4.1438 b=4.1438 c=9.0154 alpha=76.71 beta=76.71 gamma=90.00
Atoms (fractional coordinates):
Rh 0.5961 0.1250 0.2500
Rh 0.1539 0.6250 0.2500
Rh 0.3750 0.4039 0.7500
Rh 0.8750 0.8461 0.7500
Sn 0.0000 0.0000 0.0000
Sn 0.7500 0.2500 0.5000
Ga 0.5000 0.5000 0.0000
Ga 0.2500 0.7500 0.5000


Record 9
DFT (PBE-GGA) results for a geometry-optimized GaSnRh structure.

Computed properties:
energy relative to the elements	-0.408	eV per atom
SG	F-43m

Unit cell a=4.3724 b=4.3724 c=4.3724 alpha=60.00 beta=60.00 gamma=60.00
Atoms (fractional coordinates):
Rh 0.2500 0.2500 0.2500
Sn 0.0000 0.0000 0.0000
Ga 0.5000 0.5000 0.5000


Record 10
DFT (PBE-GGA) results for a geometry-optimized GaSn3Rh6 structure.

Computed properties:
energy relative to the elements	-0.393	eV per atom
SG	P2_1/m

Unit cell a=4.4660 b=7.8530 c=10.0744 alpha=113.39 beta=90.00 gamma=90.00
Atoms (fractional coordinates):
Ga 0.2500 0.9561 0.5826
Ga 0.7500 0.0439 0.4174
Sn 0.2500 0.5169 0.3726
Sn 0.7500 0.4831 0.6274
Sn 0.2500 0.3645 0.7992
Sn 0.7500 0.6355 0.2008
Sn 0.2500 0.8007 0.9747
Sn 0.7500 0.1993 0.0253
Rh 0.2500 0.4379 0.0800
Rh 0.7500 0.5621 0.9200
Rh 0.2500 0.1487 0.1865
Rh 0.7500 0.8513 0.8135
Rh 0.2500 0.6865 0.6586
Rh 0.7500 0.3135 0.3414
Rh 0.2500 0.2480 0.5100
Rh 0.7500 0.7520 0.4900
Rh 0.2500 0.8470 0.3092
Rh 0.7500 0.1530 0.6908
Rh 0.2500 0.0635 0.8540
Rh 0.7500 0.9365 0.1460


Record 11
DFT (PBE-GGA) results for a geometry-optimized GaSnRh2 structure.

Computed properties:
energy relative to the elements	-0.482	eV per atom
excess energy over the best structure of this formula in the dataset	8	meV/atom
SG	P4/mmm

Unit cell a=3.4655 b=4.2707 c=4.2707 alpha=90.00 beta=90.00 gamma=90.00
Atoms (fractional coordinates):
Rh 0.0000 0.0000 0.5000
Rh 0.0000 0.5000 0.0000
Sn 0.5000 0.0000 0.0000
Ga 0.5000 0.5000 0.5000


Record 12
DFT (PBE-GGA) results for a geometry-optimized Ga2SnRh structure.

Computed properties:
energy relative to the elements	-0.251	eV per atom
SG	R-3m

Unit cell a=3.1573 b=3.1573 c=9.2614 alpha=80.19 beta=80.19 gamma=60.00
Atoms (fractional coordinates):
Rh 0.5000 0.5000 0.5000
Sn 0.0000 0.0000 0.0000
Ga 0.1020 0.1020 0.6941
Ga 0.8980 0.8980 0.3059


Number 1: energy -47.09 eV per cell. Number 2: energy -117.46 eV per cell. Number 3: energy -100.78 eV per cell. Number 4: energy -88.47 eV per cell. Number 5: energy -27.54 eV per cell. Number 6: energy -24.36 eV per cell. Number 7: energy -54.68 eV per cell. Number 8: energy -44.01 eV per cell. Number 9: energy -15.61 eV per cell. Number 10: energy -126.15 eV per cell. Number 11: energy -23.66 eV per cell. Number 12: energy -18.41 eV per cell.